# 1
The following is a DFT calculation (PBE) of TaTc after structural relaxation.

magnetic moment	0.000	μB per cell
DOS(E_F)	4.2	states/eV per cell

Cell: 2.8412 9.6465 2.8412 Å, 98.47 60.00 98.47°
Sites, in units of the cell vectors:
Ta: 0.0038 0.0113 0.0038
Ta: 0.2462 0.7387 0.2462
Tc: 0.4947 0.4842 0.4947
Tc: 0.7553 0.2658 0.7553

# 2
The following is a DFT calculation (PBE) of Zr2IrPb after structural relaxation.

magnetic moment	2.603	μB per cell
DOS(E_F)	2.8	states/eV per cell

Cell: 4.8776 4.8776 4.8776 Å, 60.00 60.00 60.00°
Site moments in Bohr magnetons follow the coordinates.
Sites, in units of the cell vectors:
Ir: 0.5000 0.5000 0.5000  0.18
Pb: 0.7500 0.7500 0.7500  0.02
Zr: 0.0000 0.0000 0.0000  1.14
Zr: 0.2500 0.2500 0.2500  0.56

Number 1: calculated density 13.940 g cm⁻³, energy of formation from the pure elements 0.3 eV/f.u.. Number 2: calculated density 11.775 g cm⁻³, energy of formation from the pure elements -0.1 eV/f.u..